First-principles (PBE-GGA) data for crystalline Sr3EuS at its relaxed geometry, as listed in the Alexandria database.

The space group is Pm-3m (No. 221) and the conventional cell measures 6.0289, 6.0289 and 6.0289 Å, with angles of 90.00, 90.00 and 90.00 degrees. Symmetry generates all atoms from Sr at (0.0000, 0.0000, 0.5000), Eu at (0.5000, 0.5000, 0.5000) and S at (0.0000, 0.0000, 0.0000).

Its density of states at the Fermi level is 3.322 states/eV/atom. The volume is 43.83 A^3/atom. Its formation energy without anion corrections is -0.694 eV per atom. The value obtained for the size of the total moment is 7.46 μB per formula unit.


First-principles (PBE-GGA) data for crystalline SrEu3S at its relaxed geometry, as listed in the Alexandria database.

The space group is Pm-3m (No. 221) and the conventional cell measures 5.8098, 5.8098 and 5.8098 Å, with angles of 90.00, 90.00 and 90.00 degrees. Symmetry generates all atoms from Sr at (0.0000, 0.0000, 0.0000), Eu at (0.0000, 0.5000, 0.5000) and S at (0.5000, 0.5000, 0.5000).

Its density of states at the Fermi level is 1.056 states/eV/atom. The volume is 39.22 A^3/atom. Its formation energy without anion corrections is -0.722 eV per atom. The value obtained for the size of the total moment is 22.96 μB per formula unit.


First-principles (PBE-GGA) data for crystalline SrEuS at its relaxed geometry, as listed in the Alexandria database.

The space group is P3m1 (No. 156) and the conventional cell measures 4.1577, 4.1577 and 7.0898 Å, with angles of 90.00, 90.00 and 120.00 degrees. Symmetry generates all atoms from Sr at (0.0000, 0.0000, 0.0000), Eu at (0.3333, 0.6667, 0.4908) and S at (0.6667, 0.3333, 0.2564).

Its density of states at the Fermi level is 2.399 states/eV/atom. The volume is 35.38 A^3/atom. Its formation energy without anion corrections is -1.320 eV per atom. The value obtained for the size of the total moment is 7.52 μB per formula unit.


First-principles (PBE-GGA) data for crystalline EuTaS3 at its relaxed geometry, as listed in the Alexandria database.

The space group is Pm-3m (No. 221) and the conventional cell measures 4.8227, 4.8227 and 4.8227 Å, with angles of 90.00, 90.00 and 90.00 degrees. Symmetry generates all atoms from Eu at (0.0000, 0.0000, 0.0000), Ta at (0.5000, 0.5000, 0.5000) and S at (0.0000, 0.5000, 0.5000).

Its density of states at the Fermi level is 2.560 states/eV/atom. The volume is 22.43 A^3/atom. Its formation energy without anion corrections is -1.257 eV per atom. The value obtained for the size of the total moment is 6.86 μB per formula unit.